Model w:
La3Hg: relaxed, GGA-PBEsol.

Output
space group: P6_3/mmc
DOS(E_F): 4.7 states/eV/f.u.

Unit cell a=5.4535 b=7.0820 c=7.0820 alpha=120.00 beta=90.00 gamma=90.00
Closest atoms and distances in Å follow each position.
Positions (direct):
1 Hg 0.7500 0.6667 0.3333  12 La 3.32-3.54
2 Hg 0.2500 0.3333 0.6667  12 La 3.32-3.54
3 La 0.2500 0.3567 0.1784  6 La 3.29-3.50, 4 Hg 3.32-3.54
4 La 0.7500 0.1784 0.8216  6 La 3.29-3.50, 4 Hg 3.32-3.54
5 La 0.7500 0.1784 0.3567  6 La 3.29-3.50, 4 Hg 3.32-3.54
6 La 0.2500 0.8216 0.6433  6 La 3.29-3.50, 4 Hg 3.32-3.54
7 La 0.7500 0.6433 0.8216  6 La 3.29-3.50, 4 Hg 3.32-3.54
8 La 0.2500 0.8216 0.1784  6 La 3.29-3.50, 4 Hg 3.32-3.54


Model x:
La3Hg: relaxed, GGA-PBEsol.

Output
space group: Immm
DOS(E_F): 4.6 states/eV/f.u.

Unit cell a=3.8118 b=5.6552 c=6.6367 alpha=115.22 beta=106.69 gamma=90.00
Closest atoms and distances in Å follow each position.
Positions (direct):
1 La 0.2693 0.2693 0.5387  2 Hg 3.25, 6 La 3.44-3.61
2 La 0.7307 0.7307 0.4613  2 Hg 3.25, 6 La 3.44-3.61
3 La 0.5000 0.0000 0.0000  4 Hg 3.41, 6 La 3.61-3.81
4 Hg 0.0000 0.5000 0.0000  8 La 3.25-3.41


Here are the energies relative to the best structure, in eV/atom: model w 0.015; model x 0.000.


Model w:
La3Hg5: relaxed, GGA-PBEsol.

Output
space group: Cmmm
DOS(E_F): 5.9 states/eV/f.u.

Unit cell a=5.2919 b=6.5574 c=6.5574 alpha=108.78 beta=90.00 gamma=90.00
Closest atoms and distances in Å follow each position.
Positions (direct):
1 Hg 0.0000 0.0000 0.5000  6 La 3.28-3.30, 2 Hg 3.28
2 Hg 0.0000 0.0000 0.0000  8 Hg 3.28-3.45, 4 La 3.44
3 Hg 0.5000 0.2908 0.2908  4 La 3.09-3.13, 3 Hg 3.20-3.45
4 Hg 0.5000 0.7092 0.7092  4 La 3.09-3.13, 3 Hg 3.20-3.45
5 Hg 0.0000 0.5000 0.0000  2 Hg 3.28, 6 La 3.28-3.30
6 La 0.5000 0.2066 0.7934  8 Hg 3.13-3.44
7 La 0.5000 0.7934 0.2066  8 Hg 3.13-3.44
8 La 0.0000 0.5000 0.5000  8 Hg 3.09-3.28


Model x:
La3Hg5: relaxed, GGA-PBEsol.

Output
space group: I4/mcm
DOS(E_F): 7.1 states/eV/f.u.

Unit cell a=5.9264 b=9.0311 c=9.0311 alpha=83.82 beta=70.85 gamma=70.85
Closest atoms and distances in Å follow each position.
Positions (direct):
1 Hg 0.2500 0.5000 0.5000  2 Hg 2.96, 4 La 3.19
2 Hg 0.2614 0.1611 0.3160  3 Hg 3.14-3.50, 6 La 3.15-3.37
3 Hg 0.7500 0.5000 0.5000  2 Hg 2.96, 4 La 3.19
4 Hg 0.2386 0.6840 0.8389  3 Hg 3.14-3.50, 6 La 3.15-3.37
5 Hg 0.0775 0.1611 0.6840  3 Hg 3.14-3.50, 6 La 3.15-3.37
6 Hg 0.7386 0.8389 0.6840  3 Hg 3.14-3.50, 6 La 3.15-3.37
7 Hg 0.5775 0.6840 0.1611  3 Hg 3.14-3.50, 6 La 3.15-3.37
8 Hg 0.9225 0.8389 0.3160  3 Hg 3.14-3.50, 6 La 3.15-3.37
9 Hg 0.7614 0.3160 0.1611  3 Hg 3.14-3.50, 6 La 3.15-3.37
10 Hg 0.4225 0.3160 0.8389  3 Hg 3.14-3.50, 6 La 3.15-3.37
11 La 0.2500 0.0000 0.0000  2 La 2.96
12 La 0.3342 0.8317 0.5000  10 Hg 3.15-3.35
13 La 0.6658 0.1683 0.5000  10 Hg 3.15-3.35
14 La 0.1658 0.5000 0.1683  10 Hg 3.15-3.35
15 La 0.7500 0.0000 0.0000  2 La 2.96
16 La 0.8342 0.5000 0.8317  10 Hg 3.15-3.35


Here are the energies relative to the best structure, in eV/atom: model w 0.000; model x 0.071.


Model w:
La4Hg: relaxed, GGA-PBEsol.

Output
space group: I4/mmm
DOS(E_F): 6.1 states/eV/f.u.

Unit cell a=4.2194 b=4.2194 c=9.9155 alpha=102.28 beta=102.28 gamma=90.00
Closest atoms and distances in Å follow each position.
Positions (direct):
1 La 0.4191 0.4191 0.8381  1 La 3.06, 4 Hg 3.35
2 La 0.5809 0.5809 0.1619  1 La 3.06, 4 Hg 3.35
3 La 0.2500 0.7500 0.5000  4 La 2.98
4 La 0.7500 0.2500 0.5000  4 La 2.98
5 Hg 0.0000 0.0000 0.0000  8 La 3.35


Model x:
La4Hg: relaxed, GGA-PBEsol.

Output
space group: I4/m
DOS(E_F): 6.0 states/eV/f.u.

Unit cell a=4.8550 b=6.0668 c=6.0668 alpha=80.79 beta=66.41 gamma=66.41
Closest atoms and distances in Å follow each position.
Positions (direct):
1 La 0.6135 0.5873 0.1858  9 La 3.33-3.63, 3 Hg 3.42-3.50
2 La 0.7993 0.8142 0.5873  9 La 3.33-3.63, 3 Hg 3.42-3.50
3 La 0.2007 0.1858 0.4127  9 La 3.33-3.63, 3 Hg 3.42-3.50
4 La 0.3865 0.4127 0.8142  9 La 3.33-3.63, 3 Hg 3.42-3.50
5 Hg 0.0000 0.0000 0.0000  12 La 3.42-3.50


Here are the energies relative to the best structure, in eV/atom: model w 0.359; model x 0.000.


Model w:
LiLaHg2: relaxed, GGA-PBEsol.

Output
space group: P4/mmm
DOS(E_F): 3.0 states/eV/f.u.

Unit cell a=3.5564 b=5.2945 c=5.2945 alpha=90.00 beta=90.00 gamma=90.00
Closest atoms and distances in Å follow each position.
Positions (direct):
1 Hg 0.0000 0.0000 0.5000  4 La 3.19, 4 Li 3.19, 2 Hg 3.56
2 Hg 0.0000 0.5000 0.0000  4 La 3.19, 4 Li 3.19, 2 Hg 3.56
3 Li 0.5000 0.5000 0.5000  8 Hg 3.19, 2 Li 3.56
4 La 0.5000 0.0000 0.0000  8 Hg 3.19, 2 La 3.56


Model x:
LiLaHg2: relaxed, GGA-PBEsol.

Output
space group: F-43m
DOS(E_F): 0.6 states/eV/f.u.

Unit cell a=5.0283 b=5.0283 c=5.0283 alpha=60.00 beta=60.00 gamma=60.00
Closest atoms and distances in Å follow each position.
Positions (direct):
1 La 0.5000 0.5000 0.5000  4 Hg 3.08, 4 Li 3.08
2 Li 0.7500 0.7500 0.7500  4 Hg 3.08, 4 La 3.08
3 Hg 0.2500 0.2500 0.2500  4 Hg 3.08, 4 La 3.08
4 Hg 0.0000 0.0000 0.0000  4 Hg 3.08, 4 Li 3.08


Model y:
LiLaHg2: relaxed, GGA-PBEsol.

Output
space group: Pmmm
DOS(E_F): 2.8 states/eV/f.u.

Unit cell a=3.4020 b=3.5324 c=7.4940 alpha=90.00 beta=90.00 gamma=90.00
Closest atoms and distances in Å follow each position.
Positions (direct):
1 Hg 0.0000 0.0000 0.7027  4 Li 2.88, 1 Hg 3.04
2 Hg 0.0000 0.0000 0.2973  4 Li 2.88, 1 Hg 3.04
3 La 0.5000 0.5000 0.0000  8 Hg 3.31, 4 La 3.40-3.53
4 Li 0.5000 0.5000 0.5000  8 Hg 2.88


Model z:
LiLaHg2: relaxed, GGA-PBEsol.

Output
space group: Immm
DOS(E_F): 2.4 states/eV/f.u.

Unit cell a=5.1496 b=5.1399 c=5.1399 alpha=59.88 beta=59.94 gamma=59.94
Closest atoms and distances in Å follow each position.
Positions (direct):
1 La 0.0000 0.5000 0.5000  8 Hg 3.15
2 Li 0.5000 0.0000 0.0000  8 Hg 3.14-3.16
3 Hg 0.2509 0.7491 0.7491  4 Li 3.14-3.16, 4 La 3.15
4 Hg 0.7491 0.2509 0.2509  4 Li 3.14-3.16, 4 La 3.15


Here are the energies relative to the best structure, in eV/atom: model w 0.121; model x 0.067; model y 0.059; model z 0.000.